Record 1
Compound: NaCa2CdF8
Source: the Alexandria database
Functional: PBE
Structure: optimized geometry

```
NaCa2CdF8
1.0
3.949 0.000 0.000
0.000 5.424 0.000
0.000 0.000 7.827
Na Ca Cd F
1 2 1 8
Direct
0.000 0.000 0.000
0.500 0.500 0.250
0.500 0.500 0.750
0.000 0.000 0.500
0.000 0.254 0.262
0.000 0.254 0.738
0.000 0.746 0.262
0.000 0.746 0.738
0.500 0.249 0.500
0.500 0.262 0.000
0.500 0.738 0.000
0.500 0.751 0.500
```

Values from the calculation:
Crystal system: orthorhombic
Space group: Pmmm (47)
Uncorrected formation energy, eV per formula unit: -35.44

***

Record 2
Compound: La8Tb2Dy3
Source: the Alexandria database
Functional: PBE
Structure: optimized geometry

```
La8Tb2Dy3
1.0
6.827 -5.926 0.000
6.827 5.926 0.000
-2.404 0.000 5.681
La Tb Dy
8 2 3
Direct
0.085 0.085 0.238
0.100 0.577 0.850
0.361 0.361 0.387
0.423 0.900 0.150
0.577 0.100 0.850
0.639 0.639 0.613
0.900 0.423 0.150
0.915 0.915 0.762
0.187 0.187 0.822
0.813 0.813 0.178
0.228 0.772 0.500
0.500 0.500 0.000
0.772 0.228 0.500
```

Values from the calculation:
Crystal system: monoclinic
E, eV/atom: -4.66
Space group: C2/m (12)

***

Which DOS(E_F) belongs to each record? In order, 11.38; 21.37 states/eV/f.u..